No. 1
DFT (PBEsol) results for a relaxed structure of RbCo3Pb.

abc: 4.984 4.984 4.984
angles: 90.00 90.00 90.00
Positions (direct):
1 Rb 0.000 0.000 0.000
2 Co 0.000 0.500 0.500
3 Co 0.500 0.000 0.500
4 Co 0.500 0.500 0.000
5 Pb 0.500 0.500 0.500

## Properties
* symmetry: No. 221
* density: 6.3 g/cm³
* energy relative to the elements: 1.508 eV per atom
* uncorrected energy: -4.1387 eV per atom
* calculated volume: 123.8 Å³ per cell

---

No. 2
DFT (PBEsol) results for a relaxed structure of RbCoTcPb2.

abc: 5.772 5.772 4.435
angles: 90.00 90.00 90.00
Positions (direct):
1 Rb 0.000 0.000 0.000
2 Co 0.000 0.000 0.500
3 Tc 0.500 0.500 0.500
4 Pb 0.000 0.500 0.000
5 Pb 0.500 0.000 0.000

## Properties
* symmetry: No. 123
* density: 7.4 g/cm³
* energy relative to the elements: 2.480 eV per atom
* uncorrected energy: -3.1250 eV per atom
* calculated volume: 147.8 Å³ per cell

---

> The lowest density belongs to which entry?

RbCo3Pb

---

> Look up the calculated volume of the second one.

147.8 Å³ per cell